Computed, not measured: a relaxed Cs3KFe2F8 crystal at the PBE with a Hubbard U level of DFT.

a = 6.579 Å, b = 6.579 Å, c = 8.469 Å
α = 90.00°, β = 90.00°, γ = 120.00°
Fractional positions:
Cs (0.000, 0.000, 0.000)
Cs (0.333, 0.667, 0.647)
Cs (0.667, 0.333, 0.353)
K (0.000, 0.000, 0.500)
Fe (0.333, 0.667, 0.203)
Fe (0.667, 0.333, 0.797)
F (0.176, 0.352, 0.304)
F (0.176, 0.824, 0.304)
F (0.333, 0.667, 0.975)
F (0.352, 0.176, 0.696)
F (0.648, 0.824, 0.304)
F (0.667, 0.333, 0.025)
F (0.824, 0.176, 0.696)
F (0.824, 0.648, 0.696)

Output
The calculation puts the total energy at -4.581 eV/atom. The volume comes out at 317.5 Å³/cell. The space group is No. 164.